Entry 1:
# TaCr2As

Crystalline TaCr2As at its relaxed geometry (PBE, the Alexandria database).

Computed properties:
The value obtained for the total magnetic moment is 2.08 μB/f.u. The total energy is -8.959 eV/atom. As for the formation energy: -0.09 eV/f.u.

The structure in CIF format:
```
data_TaCr2As
_chemical_formula_sum 'Ta1 Cr2 As1'
_symmetry_space_group_name_H-M 'P 4/m m m'
_symmetry_Int_Tables_number 123
_symmetry_space_group_name_Hall '-P 4 2'
_cell_length_a 3.1684
_cell_length_b 3.1684
_cell_length_c 5.6696
_cell_angle_alpha 90.00
_cell_angle_beta 90.00
_cell_angle_gamma 90.00
loop_
_atom_site_label
_atom_site_fract_x
_atom_site_fract_y
_atom_site_fract_z
_atom_site_occupancy
Ta1 0.0000 0.0000 0.0000 1
Cr1 0.5000 0.5000 0.2633 1
As1 0.0000 0.0000 0.5000 1
```

=====

Entry 2:
# CaSc2Cu3

Crystalline CaSc2Cu3 at its relaxed geometry (PBE, the Alexandria database).

Computed properties:
The value obtained for the total magnetic moment is 0.00 μB/f.u. The total energy is -4.693 eV/atom. As for the formation energy: -1.21 eV/f.u.

The structure in CIF format:
```
data_CaSc2Cu3
_chemical_formula_sum 'Ca1 Sc2 Cu3'
_symmetry_space_group_name_H-M 'P 4/m m m'
_symmetry_Int_Tables_number 123
_symmetry_space_group_name_Hall '-P 4 2'
_cell_length_a 3.3354
_cell_length_b 3.3354
_cell_length_c 10.1467
_cell_angle_alpha 90.00
_cell_angle_beta 90.00
_cell_angle_gamma 90.00
loop_
_atom_site_label
_atom_site_fract_x
_atom_site_fract_y
_atom_site_fract_z
_atom_site_occupancy
Ca1 0.0000 0.0000 0.0000 1
Sc1 0.0000 0.0000 0.3403 1
Cu1 0.5000 0.5000 0.2017 1
Cu2 0.5000 0.5000 0.5000 1
```

=====

Entry 3:
# LiSmCoGe

Crystalline LiSmCoGe at its relaxed geometry (PBE, the Alexandria database).

Computed properties:
The value obtained for the total magnetic moment is 1.00 μB/f.u. The total energy is -4.902 eV/atom. As for the formation energy: -1.25 eV/f.u.

The structure in CIF format:
```
data_LiSmCoGe
_chemical_formula_sum 'Li4 Sm4 Co4 Ge4'
_symmetry_space_group_name_H-M 'F -4 3 m'
_symmetry_Int_Tables_number 216
_symmetry_space_group_name_Hall 'F -4 2 3'
_cell_length_a 6.3932
_cell_length_b 6.3932
_cell_length_c 6.3932
_cell_angle_alpha 90.00
_cell_angle_beta 90.00
_cell_angle_gamma 90.00
loop_
_atom_site_label
_atom_site_fract_x
_atom_site_fract_y
_atom_site_fract_z
_atom_site_occupancy
Li1 0.0000 0.0000 0.0000 1
Sm1 0.2500 0.2500 0.2500 1
Co1 0.0000 0.0000 0.5000 1
Ge1 0.2500 0.2500 0.7500 1
```

=====

Entry 4:
# LiHfPd

Crystalline LiHfPd at its relaxed geometry (PBE, the Alexandria database).

Computed properties:
The value obtained for the total magnetic moment is 0.00 μB/f.u. The energy above the lowest structure with this stoichiometry is 0.72 eV per formula unit. The total energy is -5.955 eV/atom. As for the formation energy: -0.81 eV/f.u.

The structure in CIF format:
```
data_LiHfPd
_chemical_formula_sum 'Li1 Hf1 Pd1'
_symmetry_space_group_name_H-M 'P 3 m 1'
_symmetry_Int_Tables_number 156
_cell_length_a 4.4478
_cell_length_b 4.4478
_cell_length_c 2.9117
_cell_angle_alpha 90.00
_cell_angle_beta 90.00
_cell_angle_gamma 120.00
loop_
_symmetry_equiv_pos_as_xyz
'x,y,z'
'-y,x-y,z'
'-x+y,-x,z'
'-y,-x,z'
'-x+y,y,z'
'x,x-y,z'
loop_
_atom_site_label
_atom_site_fract_x
_atom_site_fract_y
_atom_site_fract_z
_atom_site_occupancy
Li1 0.0000 0.0000 0.0000 1
Hf1 0.6667 0.3333 0.5482 1
Pd1 0.3333 0.6667 0.1212 1
```

=====

Entry 5:
# Sr3Si2Au4

Crystalline Sr3Si2Au4 at its relaxed geometry (PBE, the Alexandria database).

Computed properties:
The value obtained for the total magnetic moment is 0.00 μB/f.u. The total energy is -3.890 eV/atom. Its formation energy (no corrections) is -668 meV per atom.

The structure in CIF format:
```
data_Sr3Si2Au4
_chemical_formula_sum 'Sr6 Si4 Au8'
_symmetry_space_group_name_H-M 'C 1 2/m 1'
_symmetry_Int_Tables_number 12
_cell_length_a 11.7154
_cell_length_b 4.4837
_cell_length_c 8.9165
_cell_angle_alpha 90.00
_cell_angle_beta 101.73
_cell_angle_gamma 90.00
loop_
_symmetry_equiv_pos_as_xyz
'x,y,z'
'-x,-y,-z'
'-x,y,-z'
'x,-y,z'
'x+1/2,y+1/2,z'
'-x+1/2,-y+1/2,-z'
'-x+1/2,y+1/2,-z'
'x+1/2,-y+1/2,z'
loop_
_atom_site_label
_atom_site_fract_x
_atom_site_fract_y
_atom_site_fract_z
_atom_site_occupancy
Sr1 0.0000 0.0000 0.0000 1
Sr2 0.1664 0.5000 0.6655 1
Si1 0.1020 0.5000 0.2861 1
Au1 0.0602 0.0000 0.3757 1
Au2 0.2108 0.5000 0.0751 1
```

=====

Entry 6:
# TmMnSi3Ni

Crystalline TmMnSi3Ni at its relaxed geometry (PBE, the Alexandria database).

Computed properties:
The value obtained for the total magnetic moment is 1.12 μB/f.u. The total energy is -6.238 eV/atom. Its formation energy (no corrections) is -289 meV per atom.

The structure in CIF format:
```
data_TmMnSi3Ni
_chemical_formula_sum 'Tm4 Mn4 Si12 Ni4'
_symmetry_space_group_name_H-M 'C m c m'
_symmetry_Int_Tables_number 63
_symmetry_space_group_name_Hall '-C 2c 2'
_cell_length_a 5.9238
_cell_length_b 12.9089
_cell_length_c 5.4249
_cell_angle_alpha 90.00
_cell_angle_beta 90.00
_cell_angle_gamma 90.00
loop_
_atom_site_label
_atom_site_fract_x
_atom_site_fract_y
_atom_site_fract_z
_atom_site_occupancy
Tm1 0.0000 0.2042 0.2500 1
Mn1 0.0000 0.4515 0.7500 1
Si1 0.0000 0.2826 0.7500 1
Si2 0.2028 0.0000 0.0000 1
Ni1 0.0000 0.1147 0.7500 1
```

=====

Entry 7:
# NiS2Br2

Crystalline NiS2Br2 at its relaxed geometry (PBE, the Alexandria database).

Computed properties:
The value obtained for the total magnetic moment is 1.65 μB/f.u. The energy above the lowest structure with this stoichiometry is 1.63 eV per formula unit. The total energy is -3.289 eV/atom. Its formation energy (no corrections) is 187 meV per atom.

The structure in CIF format:
```
data_NiS2Br2
_chemical_formula_sum 'Ni2 S4 Br4'
_symmetry_space_group_name_H-M 'P 4/m b m'
_symmetry_Int_Tables_number 127
_symmetry_space_group_name_Hall '-P 4 2ab'
_cell_length_a 6.5432
_cell_length_b 6.5432
_cell_length_c 6.4572
_cell_angle_alpha 90.00
_cell_angle_beta 90.00
_cell_angle_gamma 90.00
loop_
_atom_site_label
_atom_site_fract_x
_atom_site_fract_y
_atom_site_fract_z
_atom_site_occupancy
Ni1 0.0000 0.0000 0.0000 1
S1 0.1021 0.3979 0.5000 1
Br1 0.1820 0.3180 0.0000 1
```

=====

Entry 8:
# Ce3Tm

Crystalline Ce3Tm at its relaxed geometry (PBE, the Alexandria database).

Computed properties:
The value obtained for the total magnetic moment is 1.22 μB/f.u. The energy above the lowest structure with this stoichiometry is 0.02 eV per formula unit. The total energy is -5.469 eV/atom. As for the formation energy: 0.40 eV/f.u.

The structure in CIF format:
```
data_Ce3Tm
_chemical_formula_sum 'Ce3 Tm1'
_symmetry_space_group_name_H-M 'P m -3 m'
_symmetry_Int_Tables_number 221
_symmetry_space_group_name_Hall '-P 4 2 3'
_cell_length_a 4.8345
_cell_length_b 4.8345
_cell_length_c 4.8345
_cell_angle_alpha 90.00
_cell_angle_beta 90.00
_cell_angle_gamma 90.00
loop_
_atom_site_label
_atom_site_fract_x
_atom_site_fract_y
_atom_site_fract_z
_atom_site_occupancy
Ce1 0.0000 0.0000 0.5000 1
Tm1 0.5000 0.5000 0.5000 1
```

=====

Entry 9:
# CsCaHg3

Crystalline CsCaHg3 at its relaxed geometry (PBE, the Alexandria database).

Computed properties:
The value obtained for the total magnetic moment is 0.00 μB/f.u. The energy above the lowest structure with this stoichiometry is 2.13 eV per formula unit. The total energy is -0.471 eV/atom. As for the formation energy: 1.41 eV/f.u.

The structure in CIF format:
```
data_CsCaHg3
_chemical_formula_sum 'Cs1 Ca1 Hg3'
_symmetry_space_group_name_H-M 'P m -3 m'
_symmetry_Int_Tables_number 221
_symmetry_space_group_name_Hall '-P 4 2 3'
_cell_length_a 6.5272
_cell_length_b 6.5272
_cell_length_c 6.5272
_cell_angle_alpha 90.00
_cell_angle_beta 90.00
_cell_angle_gamma 90.00
loop_
_atom_site_label
_atom_site_fract_x
_atom_site_fract_y
_atom_site_fract_z
_atom_site_occupancy
Cs1 0.0000 0.0000 0.0000 1
Ca1 0.5000 0.5000 0.5000 1
Hg1 0.0000 0.0000 0.5000 1
```

=====

Entry 10:
# Ho3CuRh

Crystalline Ho3CuRh at its relaxed geometry (PBE, the Alexandria database).

Computed properties:
The value obtained for the total magnetic moment is 0.00 μB/f.u. The total energy is -5.483 eV/atom. As for the formation energy: -2.23 eV/f.u.

The structure in CIF format:
```
data_Ho3CuRh
_chemical_formula_sum 'Ho6 Cu2 Rh2'
_symmetry_space_group_name_H-M 'P -1'
_symmetry_Int_Tables_number 2
_cell_length_a 5.6986
_cell_length_b 5.7024
_cell_length_c 8.3560
_cell_angle_alpha 101.00
_cell_angle_beta 101.98
_cell_angle_gamma 114.54
loop_
_symmetry_equiv_pos_as_xyz
'x,y,z'
'-x,-y,-z'
loop_
_atom_site_label
_atom_site_fract_x
_atom_site_fract_y
_atom_site_fract_z
_atom_site_occupancy
Ho1 0.0765 0.2173 0.2955 1
Ho2 0.2792 0.4318 0.7095 1
Ho3 0.3139 0.8124 0.1269 1
Cu1 0.3022 0.8017 0.4994 1
Rh1 0.2489 0.2488 0.0000 1
```

=====

Entry 11:
# SrCo2Se2

Crystalline SrCo2Se2 at its relaxed geometry (PBE, the Alexandria database).

Computed properties:
The value obtained for the total magnetic moment is 2.51 μB/f.u. The energy above the lowest structure with this stoichiometry is 0.00 eV per formula unit. The total energy is -5.228 eV/atom. Its formation energy (no corrections) is -655 meV per atom.

The structure in CIF format:
```
data_SrCo2Se2
_chemical_formula_sum 'Sr2 Co4 Se4'
_symmetry_space_group_name_H-M 'I 4/m m m'
_symmetry_Int_Tables_number 139
_symmetry_space_group_name_Hall '-I 4 2'
_cell_length_a 3.9638
_cell_length_b 3.9638
_cell_length_c 11.9766
_cell_angle_alpha 90.00
_cell_angle_beta 90.00
_cell_angle_gamma 90.00
loop_
_atom_site_label
_atom_site_fract_x
_atom_site_fract_y
_atom_site_fract_z
_atom_site_occupancy
Sr1 0.0000 0.0000 0.0000 1
Co1 0.0000 0.5000 0.2500 1
Se1 0.0000 0.0000 0.3584 1
```

=====

Entry 12:
# Ho8C3N2

Crystalline Ho8C3N2 at its relaxed geometry (PBE, the Alexandria database).

Computed properties:
The value obtained for the total magnetic moment is 1.09 μB/f.u. The total energy is -6.938 eV/atom. Its formation energy (no corrections) is -712 meV per atom.

The structure in CIF format:
```
data_Ho8C3N2
_chemical_formula_sum 'Ho16 C6 N4'
_symmetry_space_group_name_H-M 'C 1 2/m 1'
_symmetry_Int_Tables_number 12
_cell_length_a 12.2211
_cell_length_b 7.0932
_cell_length_c 6.2485
_cell_angle_alpha 90.00
_cell_angle_beta 109.23
_cell_angle_gamma 90.00
loop_
_symmetry_equiv_pos_as_xyz
'x,y,z'
'-x,-y,-z'
'-x,y,-z'
'x,-y,z'
'x+1/2,y+1/2,z'
'-x+1/2,-y+1/2,-z'
'-x+1/2,y+1/2,-z'
'x+1/2,-y+1/2,z'
loop_
_atom_site_label
_atom_site_fract_x
_atom_site_fract_y
_atom_site_fract_z
_atom_site_occupancy
Ho1 0.1181 0.0000 0.2399 1
Ho2 0.1226 0.5000 0.2185 1
Ho3 0.1259 0.2386 0.7670 1
C1 0.0000 0.0000 0.5000 1
C2 0.0000 0.2538 0.0000 1
N1 0.2491 0.0000 0.9903 1
```